# 1
This record from the Alexandria database describes a relaxed Zr2Si2Hg crystal. The functional is PBE.

a = 6.966 Å, b = 6.966 Å, c = 3.794 Å
α = 90.00°, β = 90.00°, γ = 90.00°
Positions (direct):
Si (0.381, 0.881, 0.000)
Si (0.881, 0.619, 0.000)
Si (0.619, 0.119, 0.000)
Si (0.119, 0.381, 0.000)
Hg (0.000, 0.000, 0.000)
Hg (0.500, 0.500, 0.000)
Zr (0.179, 0.679, 0.500)
Zr (0.679, 0.821, 0.500)
Zr (0.821, 0.321, 0.500)
Zr (0.321, 0.179, 0.500)

space-group type	P4/mbm, No. 127
energy relative to the elements, uncorrected	-0.490	eV/atom
size of the total moment	0.00	μB/cell

---

# 2
This record from the Alexandria database describes a relaxed ZrSiHg4 crystal. The functional is PBE.

a = 5.794 Å, b = 5.794 Å, c = 5.794 Å
α = 60.00°, β = 60.00°, γ = 60.00°
Each line ends with the local moment (μB).
Positions (direct):
Zr (0.000, 0.000, 0.000)  0.37
Si (0.750, 0.750, 0.750)  0.00
Hg (0.375, 0.875, 0.375)  0.01
Hg (0.875, 0.375, 0.375)  0.01
Hg (0.375, 0.375, 0.875)  0.01
Hg (0.375, 0.375, 0.375)  0.01

space-group type	F-43m, No. 216
energy relative to the elements, uncorrected	0.506	eV/atom
size of the total moment	0.64	μB/cell